1.
CaZrCl2 GGA-PBE optimized geometry; volume = 89.14 Å³ per cell; electronic total energy = -4.50 eV per atom
1.0
3.4524 0.0000 0.0000
0.0000 5.2416 0.0000
-1.1475 0.0000 4.9258
Ca Zr Cl
1 1 2
Direct
0.0000 0.0000 0.0000
0.4796 0.5000 0.3873
0.1402 0.5000 0.8148
0.4313 0.0000 0.5302

2.
Ce2GeBi GGA-PBE optimized geometry; formation enthalpy at 0 K = -0.669 eV per atom; volume = 236.67 Å³ per cell; electronic total energy = -5.76 eV per atom
1.0
2.2454 -11.9884 0.0000
2.2454 11.9884 0.0000
0.0000 0.0000 4.3960
Ce Ge Bi
4 2 2
Direct
0.0576 0.9424 0.7500
0.3270 0.6730 0.7500
0.6730 0.3270 0.2500
0.9424 0.0576 0.2500
0.4562 0.5438 0.7500
0.5438 0.4562 0.2500
0.1909 0.8091 0.7500
0.8091 0.1909 0.2500

3.
Sc2TaTe GGA-PBE optimized geometry; volume = 89.30 Å³ per cell; electronic total energy = -7.09 eV per atom
1.0
2.0472 -2.6009 0.0000
2.0472 2.6009 0.0000
0.0000 0.0000 8.3860
Sc Ta Te
2 1 1
Direct
0.0000 0.0000 0.2458
0.0000 0.0000 0.7542
0.5000 0.5000 0.0000
0.5000 0.5000 0.5000

4.
CrGeMoOs GGA-PBE optimized geometry; formation enthalpy at 0 K = 0.098 eV per atom; volume = 56.45 Å³ per cell; electronic total energy = -8.98 eV per atom
1.0
0.0000 3.0447 3.0447
3.0447 0.0000 3.0447
3.0447 3.0447 0.0000
Cr Ge Mo Os
1 1 1 1
Direct
0.0000 0.0000 0.0000
0.5000 0.5000 0.5000
0.7500 0.7500 0.7500
0.2500 0.2500 0.2500

5.
NaCe5Bi3 GGA-PBE optimized geometry; formation enthalpy at 0 K = -0.474 eV per atom; volume = 538.28 Å³ per cell; electronic total energy = -5.21 eV per atom
1.0
9.7206 0.0000 0.0000
-4.8603 8.4183 0.0000
0.0000 0.0000 6.5779
Na Ce Bi
2 10 6
Direct
0.0000 0.0000 0.0000
0.0000 0.0000 0.5000
0.0000 0.3170 0.2500
0.0000 0.6830 0.7500
0.3170 0.0000 0.2500
0.3170 0.3170 0.7500
0.3333 0.6667 0.0000
0.3333 0.6667 0.5000
0.6667 0.3333 0.0000
0.6667 0.3333 0.5000
0.6830 0.0000 0.7500
0.6830 0.6830 0.2500
0.0000 0.3504 0.7500
0.0000 0.6496 0.2500
0.3504 0.0000 0.7500
0.3504 0.3504 0.2500
0.6496 0.0000 0.2500
0.6496 0.6496 0.7500

6.
LiRe2OF GGA-PBE optimized geometry; volume = 73.48 Å³ per cell; electronic total energy = -5.54 eV per atom
1.0
3.9690 0.0000 0.0000
0.0000 3.9690 0.0000
0.0000 0.0000 4.6648
Li Re O F
1 2 1 1
Direct
0.0000 0.0000 0.0000
0.0000 0.5000 0.5000
0.5000 0.0000 0.5000
0.5000 0.5000 0.0000
0.5000 0.5000 0.5000

7.
Sc2OsAuS GGA-PBE optimized geometry; volume = 121.82 Å³ per cell; electronic total energy = -5.31 eV per atom
1.0
5.1546 0.0000 0.0000
0.0000 5.1546 0.0000
0.0000 0.0000 4.5849
Sc Os Au S
2 1 1 1
Direct
0.0000 0.5000 0.0000
0.5000 0.0000 0.0000
0.0000 0.0000 0.5000
0.5000 0.5000 0.0000
0.5000 0.5000 0.5000